Compound: HfHgPd
Source: Alexandria
Functional: PBE
Structure: optimized geometry

Calculated values
As for the total magnetization: 0.00 μB/f.u. Its symmetry is P-6m2, No. 187. The energy of formation comes out at -313 meV per atom.

a = 2.9394 Å, b = 4.7126 Å, c = 4.7126 Å
α = 120.00°, β = 90.00°, γ = 90.00°
With the nearest neighbours (Å) after each atom.
Sites, in units of the cell vectors:
Hf1 0.0004 0.0000 0.0000  2 Hf 2.94, 6 Pd 3.09, 6 Hg 3.09
Hg1 0.5007 0.6667 0.3333  3 Pd 2.72, 2 Hg 2.94
Pd1 0.4990 0.3333 0.6667  3 Hg 2.72, 2 Pd 2.94

=====

Compound: Pu12PdRh6
Source: Alexandria
Functional: PBE
Structure: optimized geometry

Calculated values
As for the total magnetization: 0.37 μB/f.u. Its symmetry is R-3, No. 148. The energy of formation comes out at -247 meV per atom.

a = 7.3088 Å, b = 7.3088 Å, c = 7.3088 Å
α = 95.00°, β = 95.00°, γ = 95.00°
With the nearest neighbours (Å) after each atom.
Sites, in units of the cell vectors:
Rh1 0.1102 0.7634 0.2598  7 Pu 2.79-3.09, 1 Pd 2.79, 2 Rh 2.93
Pu1 0.6035 0.9193 0.8465  1 Pu 2.61
Pu2 0.0807 0.1535 0.3965  1 Pu 2.61
Pu3 0.9193 0.8465 0.6035  1 Pu 2.61
Pu4 0.1766 0.4678 0.5938  2 Pu 2.61-2.91, 2 Rh 2.79-2.91
Rh2 0.2598 0.1102 0.7634  7 Pu 2.79-3.09, 1 Pd 2.79, 2 Rh 2.93
Rh3 0.7402 0.8898 0.2366  7 Pu 2.79-3.09, 1 Pd 2.79, 2 Rh 2.93
Pd1 0.0000 0.0000 0.0000  6 Rh 2.79, 6 Pu 3.00
Rh4 0.2366 0.7402 0.8898  7 Pu 2.79-3.09, 1 Pd 2.79, 2 Rh 2.93
Pu5 0.5938 0.1766 0.4678  2 Pu 2.61-2.91, 2 Rh 2.79-2.91
Pu6 0.4678 0.5938 0.1766  2 Pu 2.61-2.91, 2 Rh 2.79-2.91
Pu7 0.8234 0.5322 0.4062  2 Pu 2.61-2.91, 2 Rh 2.79-2.91
Pu8 0.4062 0.8234 0.5322  2 Pu 2.61-2.91, 2 Rh 2.79-2.91
Pu9 0.8465 0.6035 0.9193  1 Pu 2.61
Pu10 0.1535 0.3965 0.0807  1 Pu 2.61
Rh5 0.7634 0.2598 0.1102  7 Pu 2.79-3.09, 1 Pd 2.79, 2 Rh 2.93
Pu11 0.5322 0.4062 0.8234  2 Pu 2.61-2.91, 2 Rh 2.79-2.91
Rh6 0.8898 0.2366 0.7402  7 Pu 2.79-3.09, 1 Pd 2.79, 2 Rh 2.93
Pu12 0.3965 0.0807 0.1535  1 Pu 2.61

=====

Compound: KSrCa2Hg
Source: Alexandria
Functional: PBE
Structure: optimized geometry

Calculated values
As for the total magnetization: 0.00 μB/f.u. Its symmetry is P4/mmm, No. 123. For the distance to the lowest polymorph of the same formula, the calculation gives 0.0 meV per atom. The energy of formation comes out at -113 meV per atom.

a = 6.1345 Å, b = 6.1345 Å, c = 6.3263 Å
α = 90.00°, β = 90.00°, γ = 90.00°
With the nearest neighbours (Å) after each atom.
Sites, in units of the cell vectors:
Ca1 0.0000 0.5000 0.0000  2 Hg 3.07
K1 0.5000 0.5000 0.5000  4 Sr 4.34, 8 Ca 4.41
Ca2 0.5000 0.0000 0.0000  2 Hg 3.07
Hg1 0.0000 0.0000 0.0000  4 Ca 3.07, 2 Sr 3.16
Sr1 0.0000 0.0000 0.5000  2 Hg 3.16